## AlCrInF6 (PBE with a Hubbard U)

Data for crystalline AlCrInF6 at its relaxed geometry.

Results
- D(E_F) (states/eV per atom) = 0.000
- crystal system = monoclinic
- E (eV/atom) = -5.5985

Geometry as POSCAR:
```
AlCrInF6
1.0
2.785 -4.561 0.000
2.785 4.561 0.000
-0.078 0.000 5.904
Al Cr In F
1 1 1 6
direct
0.000 0.000 0.000
0.664 0.336 0.000
0.324 0.676 0.500
0.268 0.004 0.191
0.295 0.277 0.842
0.723 0.705 0.158
0.730 0.039 0.822
0.961 0.270 0.178
0.996 0.732 0.809
```